The following is a DFT calculation (PBE-GGA) of a geometry-optimized BeCuAu2 structure.

a = 2.962 Å, b = 4.228 Å, c = 9.048 Å
α = 90.00°, β = 90.00°, γ = 90.00°
Space group Imm2 (No. 44)
Unique sites:
Be1 0.000 0.000 0.000 [2 per cell]
Cu1 0.000 0.500 0.295 [2 per cell]
Au1 0.000 0.000 0.496 [2 per cell]
Au2 0.000 0.500 0.710 [2 per cell]

The following is a DFT calculation (PBE-GGA) of a geometry-optimized BeCu5Au2 structure.

a = 5.369 Å, b = 10.713 Å, c = 3.642 Å
α = 90.00°, β = 90.00°, γ = 90.00°
Space group Pbam (No. 55)
Unique sites:
Be1 0.000 0.000 0.000 [2 per cell]
Cu1 0.000 0.500 0.000 [2 per cell]
Cu2 0.041 0.248 0.000 [4 per cell]
Cu3 0.210 0.634 0.500 [4 per cell]
Au1 0.206 0.889 0.500 [4 per cell]

The following is a DFT calculation (PBE-GGA) of a geometry-optimized BeCuAu6 structure.

a = 5.410 Å, b = 5.423 Å, c = 5.451 Å
α = 70.86°, β = 70.25°, γ = 70.88°
Space group P-1 (No. 2)
Unique sites:
Be1 0.000 0.000 0.000 [1 per cell]
Cu1 0.500 0.500 0.500 [1 per cell]
Au1 0.013 0.764 0.455 [2 per cell]
Au2 0.238 0.542 0.987 [2 per cell]
Au3 0.460 0.012 0.762 [2 per cell]

The following is a DFT calculation (PBE-GGA) of a geometry-optimized Be4Cu2Au5 structure.

a = 4.642 Å, b = 4.890 Å, c = 7.258 Å
α = 78.68°, β = 76.87°, γ = 71.46°
Space group P-1 (No. 2)
Unique sites:
Be1 0.011 0.394 0.288 [2 per cell]
Be2 0.388 0.942 0.274 [2 per cell]
Cu1 0.443 0.643 0.841 [2 per cell]
Au1 0.126 0.120 0.613 [2 per cell]
Au2 0.183 0.198 0.988 [2 per cell]
Au3 0.500 0.500 0.500 [1 per cell]

The following is a DFT calculation (PBE-GGA) of a geometry-optimized BeCuAu structure.

The energy relative to the lowest polymorph listed for this composition is 9.6 meV per atom.

a = 6.5371 Å, b = 6.5371 Å, c = 3.0476 Å
α = 90.00°, β = 90.00°, γ = 120.00°
Space group P-62m (No. 189)
Unique sites:
Be1 0.0000 0.0000 0.0000 [1 per cell]
Be2 0.3333 0.6667 0.5000 [2 per cell]
Cu1 0.0000 0.2602 0.5000 [3 per cell]
Au1 0.0000 0.6067 0.0000 [3 per cell]

The following is a DFT calculation (PBE-GGA) of a geometry-optimized Be3CuAu3 structure.

a = 7.947 Å, b = 8.045 Å, c = 5.906 Å
α = 90.00°, β = 90.00°, γ = 90.00°
Space group Cmmm (No. 65)
Unique sites:
Be1 0.000 0.227 0.000 [4 per cell]
Be2 0.225 0.000 0.000 [4 per cell]
Be3 0.246 0.000 0.500 [4 per cell]
Cu1 0.000 0.000 0.269 [4 per cell]
Au1 0.000 0.500 0.246 [4 per cell]
Au2 0.250 0.250 0.255 [8 per cell]

The following is a DFT calculation (PBE-GGA) of a geometry-optimized BeCu2Au5 structure.

The energy relative to the lowest polymorph listed for this composition is 13.8 meV per atom.

a = 3.360 Å, b = 9.160 Å, c = 16.070 Å
α = 90.00°, β = 90.00°, γ = 90.00°
Space group Cmcm (No. 63)
Unique sites:
Be1 0.000 0.186 0.250 [4 per cell]
Cu1 0.000 0.212 0.666 [8 per cell]
Au1 0.000 0.078 0.113 [8 per cell]
Au2 0.000 0.360 0.036 [8 per cell]
Au3 0.000 0.471 0.250 [4 per cell]

The following is a DFT calculation (PBE-GGA) of a geometry-optimized BeCuAu2 structure.

a = 6.086 Å, b = 6.099 Å, c = 3.065 Å
α = 90.00°, β = 90.00°, γ = 90.00°
Space group Cmmm (No. 65)
Unique sites:
Be1 0.000 0.000 0.000 [2 per cell]
Cu1 0.000 0.500 0.000 [2 per cell]
Au1 0.250 0.250 0.500 [4 per cell]

The following is a DFT calculation (PBE-GGA) of a geometry-optimized Be4Cu5Au structure.

a = 11.623 Å, b = 3.821 Å, c = 5.328 Å
α = 90.00°, β = 91.65°, γ = 90.00°
Space group C2/m (No. 12)
Unique sites:
Be1 0.011 0.000 0.228 [4 per cell]
Be2 0.163 0.500 0.241 [4 per cell]
Cu1 0.000 0.500 0.000 [2 per cell]
Cu2 0.174 0.000 0.990 [4 per cell]
Cu3 0.175 0.000 0.506 [4 per cell]
Au1 0.000 0.500 0.500 [2 per cell]

The following is a DFT calculation (PBE-GGA) of a geometry-optimized BeCuAu2 structure.

a = 6.187 Å, b = 6.187 Å, c = 6.187 Å
α = 90.00°, β = 90.00°, γ = 90.00°
Space group F-43m (No. 216)
Unique sites:
Be1 0.000 0.000 0.000 [4 per cell]
Cu1 0.250 0.250 0.750 [4 per cell]
Au1 0.000 0.000 0.500 [4 per cell]
Au2 0.250 0.250 0.250 [4 per cell]

The following is a DFT calculation (PBE-GGA) of a geometry-optimized Be2CuAu2 structure.

The energy relative to the lowest polymorph listed for this composition is 0.0 meV per atom.

a = 6.657 Å, b = 6.657 Å, c = 2.917 Å
α = 90.00°, β = 90.00°, γ = 90.00°
Space group P4/mbm (No. 127)
Unique sites:
Be1 0.129 0.371 0.000 [4 per cell]
Cu1 0.000 0.000 0.000 [2 per cell]
Au1 0.166 0.666 0.500 [4 per cell]

The following is a DFT calculation (PBE-GGA) of a geometry-optimized Be2Cu6Au structure.

a = 3.504 Å, b = 3.504 Å, c = 8.753 Å
α = 90.00°, β = 90.00°, γ = 90.00°
Space group P4/mmm (No. 123)
Unique sites:
Be1 0.000 0.000 0.120 [2 per cell]
Cu1 0.000 0.000 0.500 [1 per cell]
Cu2 0.000 0.500 0.283 [4 per cell]
Cu3 0.500 0.500 0.500 [1 per cell]
Au1 0.500 0.500 0.000 [1 per cell]

Number 1: spin magnetization 0.00 μB/cell, formation energy -0.069 eV per atom. Number 2: spin magnetization 0.00 μB/cell, formation energy -0.038 eV per atom. Number 3: spin magnetization 0.00 μB/cell, formation energy 0.039 eV per atom. Number 4: spin magnetization 0.00 μB/cell, formation energy -0.061 eV per atom. Number 5: spin magnetization 0.00 μB/cell, formation energy -0.113 eV per atom. Number 6: spin magnetization 0.00 μB/cell, formation energy -0.058 eV per atom. Number 7: spin magnetization 0.00 μB/cell, formation energy -0.038 eV per atom. Number 8: spin magnetization 0.00 μB/cell, formation energy -0.039 eV per atom. Number 9: spin magnetization 0.00 μB/cell, formation energy 0.068 eV per atom. Number 10: spin magnetization 0.00 μB/cell, formation energy 0.120 eV per atom. Number 11: spin magnetization 0.00 μB/cell, formation energy -0.113 eV per atom. Number 12: spin magnetization 0.00 μB/cell, formation energy 0.064 eV per atom.